The following is a PBE calculation of a relaxed MgIn2Cu2Au5 crystal, from Alexandria via LeMat-Bulk.

It has space group P4/mbm (No. 127), with a = 9.500 Å, b = 9.500 Å, c = 4.077 Å, α = 90.00°, β = 90.00° and γ = 90.00°. The inequivalent atoms are Mg at (0.000, 0.000, 0.000), In at (0.168, 0.332, 0.000), Cu at (0.125, 0.625, 0.000), Au at (0.000, 0.500, 0.500) and Au at (0.094, 0.810, 0.500).

The calculated formation energy comes out at -4.1 kcal/mol of atoms. As for the theoretical density: 12328 kg/m3. The calculation puts the spin magnetization at 0.00 μB per formula unit.